1.
DFT (PBE) results for PmRh3 after structural relaxation.

Calculated values
Its space group is No. 221. The calculated total energy comes out at -7.08 eV/atom. The crystal system is cubic. The value obtained for the total magnetization is 0.0 μB/cell.

The structure in POSCAR format:
```
PmRh3
1.0
4.100 0.000 0.000
0.000 4.100 0.000
0.000 0.000 4.100
Rh Pm
3 1
Direct
0.000 0.500 0.500
0.500 0.000 0.500
0.500 0.500 0.000
0.000 0.000 0.000
```

***

2.
DFT (PBE) results for PmRh3 after structural relaxation.

Calculated values
Its space group is No. 139. The calculated total energy comes out at -6.98 eV/atom. The crystal system is tetragonal. The value obtained for the total magnetization is 0.0 μB/cell.

The structure in POSCAR format:
```
PmRh3
1.0
4.137 0.000 0.000
0.000 4.137 0.000
-2.068 -2.068 4.060
Rh Pm
3 1
Direct
0.750 0.250 0.500
0.250 0.750 0.500
0.500 0.500 0.000
0.000 0.000 0.000
```